(1)
Na3U2CrTe6 | Alexandria | GGA-PBE | relaxed; N(E_F) = 1.533 states/eV/atom; mass density = 6.1 g/cm³; symmetry = C2/m (12); formation energy (no corrections) = -669 meV per atom
1.0
7.525 -0.005 -0.002
-3.765 6.515 -0.002
-1.256 -2.175 7.551
Na Te U Cr
3 6 2 1
direct
0.500 0.500 0.500
0.829 0.171 0.500
0.171 0.829 0.500
0.394 0.075 0.226
0.606 0.925 0.774
0.242 0.242 0.772
0.075 0.394 0.226
0.758 0.758 0.228
0.925 0.606 0.774
0.666 0.334 0.000
0.334 0.666 0.000
0.000 0.000 0.000

(2)
ZnCu2Se | Alexandria | GGA-PBE | relaxed; N(E_F) = 0.175 states/eV/atom; polymorph energy (0 for the lowest one) = 18 kJ/mol of formula units; mass density = 7.6 g/cm³; symmetry = P4/mmm (123); formation energy (no corrections) = 67 meV per atom
1.0
-0.865 -0.281 3.234
-3.153 -0.730 -0.906
1.220 -5.124 -0.119
Cu Zn Se
2 1 1
direct
0.000 0.000 0.989
0.000 0.000 0.511
0.500 0.500 0.750
0.500 0.500 0.250